(1)
Density functional theory data (PBE) for a geometry-optimized SmMgInAu structure.

Properties
formation energy from the elements = -2.21 eV/f.u.

abc: 7.1867 7.1867 7.1867
angles: 90.00 90.00 90.00
Closest atoms and distances in Å follow each position.
Space group F-43m (No. 216)
One atom of each set of equivalent atoms:
Sm (0.0000, 0.0000, 0.0000)  4 Au 3.11, 4 In 3.11
Mg (0.0000, 0.0000, 0.5000)  4 In 3.11, 4 Au 3.11
In (0.2500, 0.2500, 0.7500)  4 Mg 3.11, 4 Sm 3.11
Au (0.2500, 0.2500, 0.2500)  4 Mg 3.11, 4 Sm 3.11

---

(2)
Density functional theory data (PBE) for a geometry-optimized NaSnSb structure.

Properties
ΔE_f (raw) = -196 meV/atom

abc: 7.0214 5.1063 9.8593
angles: 90.00 90.00 90.00
Closest atoms and distances in Å follow each position.
Space group Pnma (No. 62)
One atom of each set of equivalent atoms:
Na (0.0188, 0.2500, 0.2024)  5 Sb 3.38-3.57, 5 Sn 3.47-3.64, 2 Na 3.63
Sn (0.1910, 0.2500, 0.5841)  4 Sb 3.02-3.16
Sb (0.2387, 0.7500, 0.4008)  4 Sn 3.02-3.16, 2 Na 3.38